Run one
Material: TmPuZr
Method: DFT, GGA-PBE
State: relaxed

```
TmPuZr
1.0
5.2462 0.0000 0.0000
-2.6231 4.5433 0.0000
0.0000 0.0000 3.2248
Tm Pu Zr
1 1 1
Direct
0.0000 0.0000 0.0000
0.6667 0.3333 0.5000
0.3333 0.6667 0.5000
```

Results
V: 76.86 Å³/f.u.
size of the total moment: 5.01 Bohr magnetons per cell
SG: No. 187
DOS(E_F): 9.72 states/eV/f.u.

***

Run two
Material: TmPuZr
Method: DFT, GGA-PBE
State: relaxed

```
TmPuZr
1.0
2.6800 1.5473 6.7751
-2.6800 1.5473 6.7751
0.0000 -3.0945 6.7751
Tm Pu Zr
2 2 2
Direct
0.1289 0.1289 0.1289
0.8711 0.8711 0.8711
0.2995 0.2995 0.2995
0.7005 0.7005 0.7005
0.4332 0.4332 0.4332
0.5668 0.5668 0.5668
```

Results
V: 84.28 Å³/f.u.
size of the total moment: 11.51 Bohr magnetons per cell
SG: No. 166
DOS(E_F): 9.72 states/eV/f.u.

***

The computed energies, referenced to the most stable structure and given in meV/atom, are run one 0; run two 300.

***

Run one
Material: TmPuZr2
Method: DFT, GGA-PBE
State: relaxed

```
TmPuZr2
1.0
3.3130 0.0000 0.0000
-1.6565 2.8691 0.0000
0.0000 0.0000 31.8844
Tm Pu Zr
3 3 6
Direct
0.0000 0.0000 0.0000
0.3333 0.6667 0.6667
0.6667 0.3333 0.3333
0.0000 0.0000 0.8331
0.3333 0.6667 0.4997
0.6667 0.3333 0.1664
0.0000 0.0000 0.4183
0.0000 0.0000 0.5807
0.3333 0.6667 0.0849
0.3333 0.6667 0.2474
0.6667 0.3333 0.7516
0.6667 0.3333 0.9141
```

Results
V: 101.02 Å³/f.u.
size of the total moment: 15.45 Bohr magnetons per cell
SG: No. 160
DOS(E_F): 9.15 states/eV/f.u.

***

Run two
Material: TmPuZr2
Method: DFT, GGA-PBE
State: relaxed

```
TmPuZr2
1.0
3.2313 0.0000 0.0000
-1.6156 2.7984 0.0000
0.0000 0.0000 34.2041
Tm Pu Zr
3 3 6
Direct
0.0000 0.0000 0.0000
0.3333 0.6667 0.6667
0.6667 0.3333 0.3333
0.0000 0.0000 0.5000
0.3333 0.6667 0.1667
0.6667 0.3333 0.8333
0.0000 0.0000 0.4122
0.0000 0.0000 0.5878
0.3333 0.6667 0.0789
0.3333 0.6667 0.2545
0.6667 0.3333 0.7455
0.6667 0.3333 0.9211
```

Results
V: 103.10 Å³/f.u.
size of the total moment: 17.69 Bohr magnetons per cell
SG: No. 166
DOS(E_F): 10.23 states/eV/f.u.

***

Run three
Material: TmPuZr2
Method: DFT, GGA-PBE
State: relaxed

```
TmPuZr2
1.0
3.7957 0.0000 0.0000
0.0000 3.7957 0.0000
0.0000 0.0000 6.9583
Tm Pu Zr
1 1 2
Direct
0.0000 0.0000 0.0000
0.0000 0.0000 0.5000
0.5000 0.5000 0.2815
0.5000 0.5000 0.7185
```

Results
V: 100.25 Å³/f.u.
size of the total moment: 5.37 Bohr magnetons per cell
SG: No. 123
DOS(E_F): 9.11 states/eV/f.u.

***

The computed energies, referenced to the most stable structure and given in meV/atom, are run one 0; run two 174; run three 35.

***

Run one
Material: PuU
Method: DFT, GGA-PBE
State: relaxed

```
PuU
1.0
5.5158 0.0000 0.0000
0.0000 4.6127 0.0000
-1.2534 0.0000 6.3630
Pu U
4 4
Direct
0.1168 0.0000 0.1712
0.3832 0.5000 0.8288
0.6168 0.5000 0.1712
0.8832 0.0000 0.8288
0.2470 0.5000 0.3198
0.2530 0.0000 0.6802
0.7470 0.0000 0.3198
0.7530 0.5000 0.6802
```

Results
V: 40.47 Å³/f.u.
size of the total moment: 0.00 Bohr magnetons per cell
SG: No. 12
DOS(E_F): 4.53 states/eV/f.u.

***

Run two
Material: PuU
Method: DFT, GGA-PBE
State: relaxed

```
PuU
1.0
3.6911 0.0000 0.0000
0.0000 10.8578 0.0000
0.0000 0.0000 3.6902
Pu U
4 4
Direct
0.0000 0.1461 0.2500
0.0000 0.8539 0.7500
0.5000 0.3539 0.7500
0.5000 0.6461 0.2500
0.0000 0.3811 0.2500
0.0000 0.6189 0.7500
0.5000 0.1189 0.7500
0.5000 0.8811 0.2500
```

Results
V: 36.97 Å³/f.u.
size of the total moment: 6.01 Bohr magnetons per cell
SG: No. 63

***

The computed energies, referenced to the most stable structure and given in meV/atom, are run one 0; run two 198.

***

Run one
Material: Pu3U
Method: DFT, GGA-PBE
State: relaxed

```
Pu3U
1.0
3.3009 0.0000 0.0000
0.0000 3.5178 0.0000
0.0000 0.0000 6.1019
Pu U
3 1
Direct
0.0000 0.0000 0.0000
0.0000 0.5000 0.4785
0.5000 0.0000 0.3182
0.5000 0.5000 0.8268
```

Results
V: 70.85 Å³/f.u.
size of the total moment: 0.18 Bohr magnetons per cell
SG: No. 25

***

Run two
Material: Pu3U
Method: DFT, GGA-PBE
State: relaxed

```
Pu3U
1.0
3.0556 0.0000 0.0000
0.0000 5.3694 0.0000
0.0000 0.0000 11.1208
Pu U
6 2
Direct
0.0000 0.0000 0.0000
0.0000 0.5000 0.2227
0.0000 0.5000 0.7773
0.5000 0.0000 0.2773
0.5000 0.0000 0.7227
0.5000 0.5000 0.5000
0.0000 0.0000 0.5000
0.5000 0.5000 0.0000
```

Results
V: 91.23 Å³/f.u.
size of the total moment: 29.19 Bohr magnetons per cell
SG: No. 71
DOS(E_F): 17.58 states/eV/f.u.

***

The computed energies, referenced to the most stable structure and given in meV/atom, are run one 0; run two 8.